A:
Crystalline Rb2Sn2Cl7 at its relaxed geometry. Source: the Alexandria database, functional PBE.

Magnetic moment: 0.00 μB/f.u.

```
data_Rb2Sn2Cl7
_cell_length_a 10.7327
_cell_length_b 11.6212
_cell_length_c 6.6977
_cell_angle_alpha 90.00
_cell_angle_beta 94.51
_cell_angle_gamma 90.00
_symmetry_space_group_name_H-M 'C 1 m 1'
_symmetry_Int_Tables_number 8
loop_
_symmetry_equiv_pos_as_xyz
'x,y,z'
'x,-y,z'
'x+1/2,y+1/2,z'
'x+1/2,-y+1/2,z'
loop_
_atom_site_label
_atom_site_type_symbol
_atom_site_fract_x
_atom_site_fract_y
_atom_site_fract_z
Rb1 Rb 0.0000 0.2241 0.0000
Sn1 Sn 0.2336 0.0000 0.5767
Sn2 Sn 0.2360 0.5000 0.4979
Cl1 Cl 0.1830 0.0000 0.2038
Cl2 Cl 0.2410 0.2102 0.7180
Cl3 Cl 0.2467 0.3504 0.2284
Cl4 Cl 0.4766 0.0000 0.5607
Cl5 Cl 0.4860 0.5000 0.6370
```

***

B:
Crystalline Rb2Sn2Cl7 at its relaxed geometry. Source: the Alexandria database, functional PBE.

Magnetic moment: 0.00 μB/f.u.

```
data_Rb2Sn2Cl7
_cell_length_a 9.1108
_cell_length_b 10.3355
_cell_length_c 7.5866
_cell_angle_alpha 90.00
_cell_angle_beta 90.00
_cell_angle_gamma 90.00
_symmetry_space_group_name_H-M 'C m m m'
_symmetry_Int_Tables_number 65
_symmetry_space_group_name_Hall '-C 2 2'
loop_
_atom_site_label
_atom_site_type_symbol
_atom_site_fract_x
_atom_site_fract_y
_atom_site_fract_z
Rb1 Rb 0.2358 0.0000 0.0000
Sn1 Sn 0.0000 0.2760 0.5000
Cl1 Cl 0.0000 0.0000 0.5000
Cl2 Cl 0.0000 0.5000 0.2873
Cl3 Cl 0.2500 0.2500 0.2696
```

***

Taking the most stable structure as the zero point, the relative energies in kJ/mol of atoms are A 0.0; B 6.6.

***

A:
Crystalline RbTa3Cl at its relaxed geometry. Source: the Alexandria database, functional PBE.

Magnetic moment: 0.00 μB/f.u.

```
data_RbTa3Cl
_cell_length_a 4.9408
_cell_length_b 4.9408
_cell_length_c 4.9408
_cell_angle_alpha 90.00
_cell_angle_beta 90.00
_cell_angle_gamma 90.00
_symmetry_space_group_name_H-M 'P m -3 m'
_symmetry_Int_Tables_number 221
_symmetry_space_group_name_Hall '-P 4 2 3'
loop_
_atom_site_label
_atom_site_type_symbol
_atom_site_fract_x
_atom_site_fract_y
_atom_site_fract_z
Rb1 Rb 0.0000 0.0000 0.0000
Ta1 Ta 0.0000 0.0000 0.5000
Cl1 Cl 0.5000 0.5000 0.5000
```

***

B:
Crystalline RbTa3Cl at its relaxed geometry. Source: the Alexandria database, functional PBE.

Magnetic moment: 0.53 μB/f.u.

```
data_RbTa3Cl
_cell_length_a 4.7789
_cell_length_b 4.7789
_cell_length_c 4.7789
_cell_angle_alpha 90.00
_cell_angle_beta 90.00
_cell_angle_gamma 90.00
_symmetry_space_group_name_H-M 'P m -3 m'
_symmetry_Int_Tables_number 221
_symmetry_space_group_name_Hall '-P 4 2 3'
loop_
_atom_site_label
_atom_site_type_symbol
_atom_site_fract_x
_atom_site_fract_y
_atom_site_fract_z
Rb1 Rb 0.0000 0.0000 0.0000
Ta1 Ta 0.0000 0.5000 0.5000
Cl1 Cl 0.5000 0.5000 0.5000
```

***

Taking the most stable structure as the zero point, the relative energies in kJ/mol of atoms are A 170.9; B 0.0.

***

A:
Crystalline Rb2TbCl5 at its relaxed geometry. Source: the Alexandria database, functional PBE.

Magnetic moment: 0.00 μB/f.u.

```
data_Rb2TbCl5
_cell_length_a 13.3790
_cell_length_b 8.8113
_cell_length_c 8.3537
_cell_angle_alpha 90.00
_cell_angle_beta 90.00
_cell_angle_gamma 90.00
_symmetry_space_group_name_H-M 'P n m a'
_symmetry_Int_Tables_number 62
loop_
_symmetry_equiv_pos_as_xyz
'x,y,z'
'-x,-y,-z'
'-x+1/2,-y,z+1/2'
'x+1/2,y,-z+1/2'
'x+1/2,-y+1/2,-z+1/2'
'-x+1/2,y+1/2,z+1/2'
'-x,y+1/2,-z'
'x,-y+1/2,z'
loop_
_atom_site_label
_atom_site_type_symbol
_atom_site_fract_x
_atom_site_fract_y
_atom_site_fract_z
Rb1 Rb 0.1702 0.0067 0.0655
Tb1 Tb 0.0046 0.2500 0.5690
Cl1 Cl 0.0145 0.2500 0.8946
Cl2 Cl 0.0641 0.5442 0.6606
Cl3 Cl 0.1753 0.2500 0.3989
Cl4 Cl 0.1909 0.7500 0.3566
```

***

B:
Crystalline Rb2TbCl5 at its relaxed geometry. Source: the Alexandria database, functional PBE.

Magnetic moment: 0.00 μB/f.u.

```
data_Rb2TbCl5
_cell_length_a 12.3550
_cell_length_b 8.0673
_cell_length_c 8.0654
_cell_angle_alpha 90.00
_cell_angle_beta 130.52
_cell_angle_gamma 90.00
_symmetry_space_group_name_H-M 'C 1 m 1'
_symmetry_Int_Tables_number 8
loop_
_symmetry_equiv_pos_as_xyz
'x,y,z'
'x,-y,z'
'x+1/2,y+1/2,z'
'x+1/2,-y+1/2,z'
loop_
_atom_site_label
_atom_site_type_symbol
_atom_site_fract_x
_atom_site_fract_y
_atom_site_fract_z
Rb1 Rb 0.0000 0.0000 0.0000
Rb2 Rb 0.0000 0.5000 0.4976
Tb1 Tb 0.2656 0.0000 0.7652
Cl1 Cl 0.0294 0.5000 0.0319
Cl2 Cl 0.2108 0.2258 0.9352
Cl3 Cl 0.2137 0.2252 0.4872
```

***

Taking the most stable structure as the zero point, the relative energies in kJ/mol of atoms are A 0.0; B 8.5.

***

A:
Crystalline RbTc2Cl at its relaxed geometry. Source: the Alexandria database, functional PBE.

Magnetic moment: 6.97 μB/f.u.

```
data_RbTc2Cl
_cell_length_a 7.2534
_cell_length_b 7.2534
_cell_length_c 7.2534
_cell_angle_alpha 90.00
_cell_angle_beta 90.00
_cell_angle_gamma 90.00
_symmetry_space_group_name_H-M 'F m -3 m'
_symmetry_Int_Tables_number 225
_symmetry_space_group_name_Hall '-F 4 2 3'
loop_
_atom_site_label
_atom_site_type_symbol
_atom_site_fract_x
_atom_site_fract_y
_atom_site_fract_z
Rb1 Rb 0.0000 0.0000 0.0000
Tc1 Tc 0.2500 0.2500 0.2500
Cl1 Cl 0.0000 0.0000 0.5000
```

***

B:
Crystalline RbTc2Cl at its relaxed geometry. Source: the Alexandria database, functional PBE.

Magnetic moment: 0.35 μB/f.u.

```
data_RbTc2Cl
_cell_length_a 4.8226
_cell_length_b 4.8226
_cell_length_c 17.2572
_cell_angle_alpha 90.00
_cell_angle_beta 90.00
_cell_angle_gamma 90.00
_symmetry_space_group_name_H-M 'I 41/a m d'
_symmetry_Int_Tables_number 141
loop_
_symmetry_equiv_pos_as_xyz
'x,y,z'
'-x,-y,-z'
'-y+1/4,x+3/4,z+1/4'
'y+1/4,-x+3/4,-z+1/4'
'-x+1/2,-y,z+1/2'
'x+1/2,y,-z+1/2'
'y+1/4,-x+1/4,z+3/4'
'-y+1/4,x+1/4,-z+3/4'
'x,-y,-z'
'-x,y,z'
'-y+1/4,-x+1/4,-z+3/4'
'y+1/4,x+1/4,z+3/4'
'-x+1/2,y,-z+1/2'
'x+1/2,-y,z+1/2'
'y+1/4,x+3/4,-z+1/4'
'-y+1/4,-x+3/4,z+1/4'
'x+1/2,y+1/2,z+1/2'
'-x+1/2,-y+1/2,-z+1/2'
'-y+3/4,x+1/4,z+3/4'
'y+3/4,-x+1/4,-z+3/4'
'-x,-y+1/2,z'
'x,y+1/2,-z'
'y+3/4,-x+3/4,z+1/4'
'-y+3/4,x+3/4,-z+1/4'
'x+1/2,-y+1/2,-z+1/2'
'-x+1/2,y+1/2,z+1/2'
'-y+3/4,-x+3/4,-z+1/4'
'y+3/4,x+3/4,z+1/4'
'-x,y+1/2,-z'
'x,-y+1/2,z'
'y+3/4,x+1/4,-z+3/4'
'-y+3/4,-x+1/4,z+3/4'
loop_
_atom_site_label
_atom_site_type_symbol
_atom_site_fract_x
_atom_site_fract_y
_atom_site_fract_z
Rb1 Rb 0.0000 0.2500 0.3750
Tc1 Tc 0.0000 0.0000 0.0000
Cl1 Cl 0.0000 0.2500 0.8750
```

***

Taking the most stable structure as the zero point, the relative energies in kJ/mol of atoms are A 94.8; B 0.0.

***

A:
Crystalline Rb3TcCl6 at its relaxed geometry. Source: the Alexandria database, functional PBE.

Magnetic moment: 2.00 μB/f.u.

```
data_Rb3TcCl6
_cell_length_a 7.5723
_cell_length_b 7.8634
_cell_length_c 13.1079
_cell_angle_alpha 90.00
_cell_angle_beta 123.73
_cell_angle_gamma 90.00
_symmetry_space_group_name_H-M 'P 1 21/c 1'
_symmetry_Int_Tables_number 14
loop_
_symmetry_equiv_pos_as_xyz
'x,y,z'
'-x,-y,-z'
'-x,y+1/2,-z+1/2'
'x,-y+1/2,z+1/2'
loop_
_atom_site_label
_atom_site_type_symbol
_atom_site_fract_x
_atom_site_fract_y
_atom_site_fract_z
Rb1 Rb 0.0000 0.0000 0.0000
Rb2 Rb 0.2779 0.0686 0.7569
Tc1 Tc 0.5000 0.0000 0.5000
Cl1 Cl 0.1972 0.0213 0.2894
Cl2 Cl 0.2895 0.6680 0.0503
Cl3 Cl 0.3904 0.2396 0.0503
```

***

B:
Crystalline Rb3TcCl6 at its relaxed geometry. Source: the Alexandria database, functional PBE.

Magnetic moment: 2.00 μB/f.u.

```
data_Rb3TcCl6
_cell_length_a 12.7299
_cell_length_b 12.7299
_cell_length_c 15.1198
_cell_angle_alpha 90.00
_cell_angle_beta 90.00
_cell_angle_gamma 120.00
_symmetry_space_group_name_H-M 'R -3'
_symmetry_Int_Tables_number 148
_symmetry_space_group_name_Hall '-R 3'
loop_
_atom_site_label
_atom_site_type_symbol
_atom_site_fract_x
_atom_site_fract_y
_atom_site_fract_z
Rb1 Rb 0.0460 0.2716 0.2044
Tc1 Tc 0.0000 0.0000 0.0000
Tc2 Tc 0.0000 0.0000 0.5000
Cl1 Cl 0.0148 0.1639 0.4081
Cl2 Cl 0.0294 0.1700 0.9084
```

***

C:
Crystalline Rb3TcCl6 at its relaxed geometry. Source: the Alexandria database, functional PBE.

Magnetic moment: 2.00 μB/f.u.

```
data_Rb3TcCl6
_cell_length_a 10.9839
_cell_length_b 10.9839
_cell_length_c 10.9839
_cell_angle_alpha 90.00
_cell_angle_beta 90.00
_cell_angle_gamma 90.00
_symmetry_space_group_name_H-M 'F m -3 m'
_symmetry_Int_Tables_number 225
_symmetry_space_group_name_Hall '-F 4 2 3'
loop_
_atom_site_label
_atom_site_type_symbol
_atom_site_fract_x
_atom_site_fract_y
_atom_site_fract_z
Rb1 Rb 0.0000 0.0000 0.0000
Rb2 Rb 0.2500 0.2500 0.2500
Tc1 Tc 0.0000 0.0000 0.5000
Cl1 Cl 0.0000 0.0000 0.2807
```

***

Taking the most stable structure as the zero point, the relative energies in kJ/mol of atoms are A 0.0; B 0.9; C 2.8.

***

A:
Crystalline Rb2TlTcCl6 at its relaxed geometry. Source: the Alexandria database, functional PBE.

Magnetic moment: 2.00 μB/f.u.

```
data_Rb2TlTcCl6
_cell_length_a 7.2601
_cell_length_b 7.2601
_cell_length_c 45.3364
_cell_angle_alpha 90.00
_cell_angle_beta 90.00
_cell_angle_gamma 120.00
_symmetry_space_group_name_H-M 'R -3 m'
_symmetry_Int_Tables_number 166
_symmetry_space_group_name_Hall '-R 3 2"'
loop_
_atom_site_label
_atom_site_type_symbol
_atom_site_fract_x
_atom_site_fract_y
_atom_site_fract_z
Rb1 Rb 0.0000 0.0000 0.1414
Rb2 Rb 0.0000 0.0000 0.3088
Tl1 Tl 0.0000 0.0000 0.4154
Tc1 Tc 0.0000 0.0000 0.0000
Tc2 Tc 0.0000 0.0000 0.5000
Cl1 Cl 0.0199 0.5100 0.1354
Cl2 Cl 0.0213 0.5106 0.6978
```

***

B:
Crystalline Rb2TlTcCl6 at its relaxed geometry. Source: the Alexandria database, functional PBE.

Magnetic moment: 2.00 μB/f.u.

```
data_Rb2TlTcCl6
_cell_length_a 10.8680
_cell_length_b 10.8680
_cell_length_c 10.8680
_cell_angle_alpha 90.00
_cell_angle_beta 90.00
_cell_angle_gamma 90.00
_symmetry_space_group_name_H-M 'F m -3 m'
_symmetry_Int_Tables_number 225
_symmetry_space_group_name_Hall '-F 4 2 3'
loop_
_atom_site_label
_atom_site_type_symbol
_atom_site_fract_x
_atom_site_fract_y
_atom_site_fract_z
Rb1 Rb 0.2500 0.2500 0.2500
Tl1 Tl 0.0000 0.0000 0.0000
Tc1 Tc 0.0000 0.0000 0.5000
Cl1 Cl 0.0000 0.0000 0.2780
```

***

Taking the most stable structure as the zero point, the relative energies in kJ/mol of atoms are A 0.0; B 1.6.

***

A:
Crystalline RbTeCl2 at its relaxed geometry. Source: the Alexandria database, functional PBE.

Magnetic moment: 1.00 μB/f.u.

```
data_RbTeCl2
_cell_length_a 4.8764
_cell_length_b 4.8764
_cell_length_c 25.7475
_cell_angle_alpha 90.00
_cell_angle_beta 90.00
_cell_angle_gamma 120.00
_symmetry_space_group_name_H-M 'R -3 m'
_symmetry_Int_Tables_number 166
_symmetry_space_group_name_Hall '-R 3 2"'
loop_
_atom_site_label
_atom_site_type_symbol
_atom_site_fract_x
_atom_site_fract_y
_atom_site_fract_z
Rb1 Rb 0.0000 0.0000 0.0000
Te1 Te 0.0000 0.0000 0.5000
Cl1 Cl 0.0000 0.0000 0.3989
```

***

B:
Crystalline RbTeCl2 at its relaxed geometry. Source: the Alexandria database, functional PBE.

Magnetic moment: 0.44 μB/f.u.

```
data_RbTeCl2
_cell_length_a 3.7619
_cell_length_b 3.7619
_cell_length_c 31.8812
_cell_angle_alpha 90.00
_cell_angle_beta 90.00
_cell_angle_gamma 120.00
_symmetry_space_group_name_H-M 'R -3 m'
_symmetry_Int_Tables_number 166
_symmetry_space_group_name_Hall '-R 3 2"'
loop_
_atom_site_label
_atom_site_type_symbol
_atom_site_fract_x
_atom_site_fract_y
_atom_site_fract_z
Rb1 Rb 0.0000 0.0000 0.0000
Te1 Te 0.0000 0.0000 0.5000
Cl1 Cl 0.0000 0.0000 0.0914
```

***

Taking the most stable structure as the zero point, the relative energies in kJ/mol of atoms are A 0.0; B 65.7.

***

A:
Crystalline RbTeCl2 at its relaxed geometry. Source: the Alexandria database, functional PBE.

Magnetic moment: 3.00 μB/f.u.

```
data_RbTeCl2
_cell_length_a 7.9861
_cell_length_b 7.9861
_cell_length_c 7.9861
_cell_angle_alpha 90.00
_cell_angle_beta 90.00
_cell_angle_gamma 90.00
_symmetry_space_group_name_H-M 'F m -3 m'
_symmetry_Int_Tables_number 225
_symmetry_space_group_name_Hall '-F 4 2 3'
loop_
_atom_site_label
_atom_site_type_symbol
_atom_site_fract_x
_atom_site_fract_y
_atom_site_fract_z
Rb1 Rb 0.0000 0.0000 0.0000
Te1 Te 0.0000 0.0000 0.5000
Cl1 Cl 0.2500 0.2500 0.2500
```

***

B:
Crystalline RbTeCl2 at its relaxed geometry. Source: the Alexandria database, functional PBE.

Magnetic moment: 0.00 μB/f.u.

```
data_RbTeCl2
_cell_length_a 5.8211
_cell_length_b 5.8211
_cell_length_c 18.3642
_cell_angle_alpha 90.00
_cell_angle_beta 90.00
_cell_angle_gamma 90.00
_symmetry_space_group_name_H-M 'I -4 2 d'
_symmetry_Int_Tables_number 122
_symmetry_space_group_name_Hall 'I -4 2bw'
loop_
_atom_site_label
_atom_site_type_symbol
_atom_site_fract_x
_atom_site_fract_y
_atom_site_fract_z
Rb1 Rb 0.0000 0.0000 0.0000
Te1 Te 0.0000 0.0000 0.5000
Cl1 Cl 0.1597 0.2500 0.6250
```

***

Taking the most stable structure as the zero point, the relative energies in kJ/mol of atoms are A 13.7; B 0.0.

***

A:
Crystalline Rb2TeCl at its relaxed geometry. Source: the Alexandria database, functional PBE.

Magnetic moment: 1.00 μB/f.u.

```
data_Rb2TeCl
_cell_length_a 8.6157
_cell_length_b 8.6157
_cell_length_c 8.6157
_cell_angle_alpha 90.00
_cell_angle_beta 90.00
_cell_angle_gamma 90.00
_symmetry_space_group_name_H-M 'F m -3 m'
_symmetry_Int_Tables_number 225
_symmetry_space_group_name_Hall '-F 4 2 3'
loop_
_atom_site_label
_atom_site_type_symbol
_atom_site_fract_x
_atom_site_fract_y
_atom_site_fract_z
Rb1 Rb 0.2500 0.2500 0.2500
Te1 Te 0.0000 0.0000 0.0000
Cl1 Cl 0.0000 0.0000 0.5000
```

***

B:
Crystalline Rb2TeCl at its relaxed geometry. Source: the Alexandria database, functional PBE.

Magnetic moment: 1.00 μB/f.u.

```
data_Rb2TeCl
_cell_length_a 9.0190
_cell_length_b 9.0190
_cell_length_c 9.9243
_cell_angle_alpha 90.00
_cell_angle_beta 90.00
_cell_angle_gamma 90.00
_symmetry_space_group_name_H-M 'I -4 2 d'
_symmetry_Int_Tables_number 122
_symmetry_space_group_name_Hall 'I -4 2bw'
loop_
_atom_site_label
_atom_site_type_symbol
_atom_site_fract_x
_atom_site_fract_y
_atom_site_fract_z
Rb1 Rb 0.2047 0.2500 0.1250
Te1 Te 0.0000 0.0000 0.5000
Cl1 Cl 0.0000 0.0000 0.0000
```

***

Taking the most stable structure as the zero point, the relative energies in kJ/mol of atoms are A 4.0; B 0.0.

***

A:
Crystalline Rb3TeCl6 at its relaxed geometry. Source: the Alexandria database, functional PBE.

Magnetic moment: 1.00 μB/f.u.

```
data_Rb3TeCl6
_cell_length_a 8.3373
_cell_length_b 8.3373
_cell_length_c 11.2947
_cell_angle_alpha 90.00
_cell_angle_beta 90.00
_cell_angle_gamma 90.00
_symmetry_space_group_name_H-M 'I 4/m m m'
_symmetry_Int_Tables_number 139
_symmetry_space_group_name_Hall '-I 4 2'
loop_
_atom_site_label
_atom_site_type_symbol
_atom_site_fract_x
_atom_site_fract_y
_atom_site_fract_z
Rb1 Rb 0.0000 0.0000 0.0000
Rb2 Rb 0.0000 0.5000 0.2500
Te1 Te 0.0000 0.0000 0.5000
Cl1 Cl 0.0000 0.0000 0.2744
Cl2 Cl 0.2368 0.2368 0.5000
```

***

B:
Crystalline Rb3TeCl6 at its relaxed geometry. Source: the Alexandria database, functional PBE.

Magnetic moment: 1.00 μB/f.u.

```
data_Rb3TeCl6
_cell_length_a 13.3792
_cell_length_b 7.9742
_cell_length_c 8.4341
_cell_angle_alpha 90.00
_cell_angle_beta 124.31
_cell_angle_gamma 90.00
_symmetry_space_group_name_H-M 'C 1 2/m 1'
_symmetry_Int_Tables_number 12
loop_
_symmetry_equiv_pos_as_xyz
'x,y,z'
'-x,-y,-z'
'-x,y,-z'
'x,-y,z'
'x+1/2,y+1/2,z'
'-x+1/2,-y+1/2,-z'
'-x+1/2,y+1/2,-z'
'x+1/2,-y+1/2,z'
loop_
_atom_site_label
_atom_site_type_symbol
_atom_site_fract_x
_atom_site_fract_y
_atom_site_fract_z
Rb1 Rb 0.0000 0.0000 0.0000
Rb2 Rb 0.2441 0.5000 0.2128
Te1 Te 0.0000 0.5000 0.5000
Cl1 Cl 0.0707 0.2798 0.8070
Cl2 Cl 0.2189 0.5000 0.5913
```

***

Taking the most stable structure as the zero point, the relative energies in kJ/mol of atoms are A 6.4; B 0.0.